# PBE Ba4MnP4, relaxed
data_Ba4MnP4
_space_group_name_H-M_alt 'P 42/n m c'
_space_group_IT_number 137
_cell_length_a 9.2094
_cell_length_b 9.2094
_cell_length_c 6.7129
_cell_angle_alpha 90.00
_cell_angle_beta 90.00
_cell_angle_gamma 90.00
loop_
_space_group_symop_operation_xyz
'x,y,z'
'-x,-y,-z'
'-y+1/2,x,z+1/2'
'y+1/2,-x,-z+1/2'
'-x+1/2,-y+1/2,z'
'x+1/2,y+1/2,-z'
'y,-x+1/2,z+1/2'
'-y,x+1/2,-z+1/2'
'x+1/2,-y,-z'
'-x+1/2,y,z'
'-y,-x,-z+1/2'
'y,x,z+1/2'
'-x,y+1/2,-z'
'x,-y+1/2,z'
'y+1/2,x+1/2,-z+1/2'
'-y+1/2,-x+1/2,z+1/2'
loop_
_atom_site_label
_atom_site_type_symbol
_atom_site_fract_x
_atom_site_fract_y
_atom_site_fract_z
Ba1 Ba 0.0223 0.2500 0.0747
Mn1 Mn 0.2500 0.7500 0.2500
P1 P 0.0385 0.7500 0.4351
# * D(E_F): 7.22 states/eV per cell
# * calculated formation energy: -7.646 eV/f.u.
# * magnetization: 3.00 μB/f.u.

# PBE Nd4CoSe3, relaxed
data_Nd4CoSe3
_space_group_name_H-M_alt 'P 1 2/c 1'
_space_group_IT_number 13
_cell_length_a 7.4616
_cell_length_b 8.4605
_cell_length_c 7.1370
_cell_angle_alpha 90.00
_cell_angle_beta 109.29
_cell_angle_gamma 90.00
loop_
_space_group_symop_operation_xyz
'x,y,z'
'-x,-y,-z'
'-x,y,-z+1/2'
'x,-y,z+1/2'
loop_
_atom_site_label
_atom_site_type_symbol
_atom_site_fract_x
_atom_site_fract_y
_atom_site_fract_z
Nd1 Nd 0.2268 0.1162 0.0065
Nd2 Nd 0.2361 0.3538 0.4825
Co1 Co 0.0000 0.1222 0.2500
Se1 Se 0.0000 0.3803 0.7500
Se2 Se 0.5000 0.1250 0.7500
Se3 Se 0.5000 0.3833 0.2500
# * D(E_F): 11.56 states/eV per cell
# * magnetization: 0.00 μB/f.u.
# * uncorrected formation energy: -10.9 eV per formula unit

# PBE Ho6GeS12, relaxed
data_Ho6GeS12
_space_group_name_H-M_alt 'R -3'
_space_group_IT_number 148
_space_group_name_Hall '-R 3'
_cell_length_a 11.6900
_cell_length_b 11.6900
_cell_length_c 11.1020
_cell_angle_alpha 90.00
_cell_angle_beta 90.00
_cell_angle_gamma 120.00
loop_
_atom_site_label
_atom_site_type_symbol
_atom_site_fract_x
_atom_site_fract_y
_atom_site_fract_z
Ho1 Ho 0.0539 0.7783 0.1448
Ge1 Ge 0.0000 0.0000 0.5000
S1 S 0.0373 0.8196 0.8989
S2 S 0.0614 0.8594 0.3862
# * D(E_F): 45.80 states/eV per cell
# * magnetization: 0.01 μB/f.u.
# * uncorrected formation energy: -29.6 eV per formula unit

# PBE Sr2PuCu2S6, relaxed
data_Sr2PuCu2S6
_space_group_name_H-M_alt 'R -3 m'
_space_group_IT_number 166
_space_group_name_Hall '-R 3 2"'
_cell_length_a 7.1788
_cell_length_b 7.1788
_cell_length_c 18.6228
_cell_angle_alpha 90.00
_cell_angle_beta 90.00
_cell_angle_gamma 120.00
loop_
_atom_site_label
_atom_site_type_symbol
_atom_site_fract_x
_atom_site_fract_y
_atom_site_fract_z
Sr1 Sr 0.0000 0.0000 0.2157
Pu1 Pu 0.0000 0.0000 0.0000
Cu1 Cu 0.0000 0.0000 0.4228
S1 S 0.0166 0.5083 0.7560
# * D(E_F): 35.12 states/eV per cell
# * magnetization: 1.94 μB/f.u.
# * uncorrected formation energy: -11.2 eV per formula unit

# PBE ZrSiOsN2, relaxed
data_ZrSiOsN2
_space_group_name_H-M_alt 'P 4/m m m'
_space_group_IT_number 123
_space_group_name_Hall '-P 4 2'
_cell_length_a 4.0226
_cell_length_b 4.0226
_cell_length_c 5.6554
_cell_angle_alpha 90.00
_cell_angle_beta 90.00
_cell_angle_gamma 90.00
loop_
_atom_site_label
_atom_site_type_symbol
_atom_site_fract_x
_atom_site_fract_y
_atom_site_fract_z
Zr1 Zr 0.0000 0.0000 0.0000
Si1 Si 0.5000 0.5000 0.5000
Os1 Os 0.0000 0.0000 0.5000
N1 N 0.0000 0.5000 0.0000
# * D(E_F): 4.32 states/eV per cell
# * magnetization: 2.99 μB/f.u.
# * uncorrected formation energy: 7.0 eV per formula unit

# PBE LaPrNdY2, relaxed
data_LaPrNdY2
_space_group_name_H-M_alt 'P m m m'
_space_group_IT_number 47
_cell_length_a 3.6467
_cell_length_b 5.6819
_cell_length_c 8.8188
_cell_angle_alpha 90.00
_cell_angle_beta 90.00
_cell_angle_gamma 90.00
loop_
_space_group_symop_operation_xyz
'x,y,z'
'-x,-y,-z'
'-x,-y,z'
'x,y,-z'
'x,-y,-z'
'-x,y,z'
'-x,y,-z'
'x,-y,z'
loop_
_atom_site_label
_atom_site_type_symbol
_atom_site_fract_x
_atom_site_fract_y
_atom_site_fract_z
La1 La 0.0000 0.0000 0.0000
Pr1 Pr 0.5000 0.0000 0.5000
Nd1 Nd 0.5000 0.5000 0.0000
Y1 Y 0.0000 0.5000 0.3195
# * D(E_F): 8.76 states/eV per cell
# * calculated formation energy: 1.225 eV/f.u.
# * magnetization: 0.00 μB/f.u.

# PBE TbCeCoRh, relaxed
data_TbCeCoRh
_space_group_name_H-M_alt 'F -4 3 m'
_space_group_IT_number 216
_space_group_name_Hall 'F -4 2 3'
_cell_length_a 6.8407
_cell_length_b 6.8407
_cell_length_c 6.8407
_cell_angle_alpha 90.00
_cell_angle_beta 90.00
_cell_angle_gamma 90.00
loop_
_atom_site_label
_atom_site_type_symbol
_atom_site_fract_x
_atom_site_fract_y
_atom_site_fract_z
Tb1 Tb 0.0000 0.0000 0.0000
Ce1 Ce 0.0000 0.0000 0.5000
Co1 Co 0.2500 0.2500 0.7500
Rh1 Rh 0.2500 0.2500 0.2500
# * D(E_F): 17.68 states/eV per cell
# * calculated formation energy: -1.622 eV/f.u.
# * magnetization: 0.33 μB/f.u.

# PBE CaAs3C, relaxed
data_CaAs3C
_space_group_name_H-M_alt 'P m -3 m'
_space_group_IT_number 221
_space_group_name_Hall '-P 4 2 3'
_cell_length_a 5.3754
_cell_length_b 5.3754
_cell_length_c 5.3754
_cell_angle_alpha 90.00
_cell_angle_beta 90.00
_cell_angle_gamma 90.00
loop_
_atom_site_label
_atom_site_type_symbol
_atom_site_fract_x
_atom_site_fract_y
_atom_site_fract_z
Ca1 Ca 0.0000 0.0000 0.0000
As1 As 0.0000 0.0000 0.5000
C1 C 0.5000 0.5000 0.5000
# * D(E_F): 4.25 states/eV per cell
# * calculated formation energy: 10.796 eV/f.u.
# * magnetization: 1.12 μB/f.u.
# * polymorph energy (0 for the lowest one): 1619 meV/atom

# PBE NdTc3, relaxed
data_NdTc3
_space_group_name_H-M_alt 'F m m m'
_space_group_IT_number 69
_space_group_name_Hall '-F 2 2'
_cell_length_a 4.7657
_cell_length_b 8.8362
_cell_length_c 17.9115
_cell_angle_alpha 90.00
_cell_angle_beta 90.00
_cell_angle_gamma 90.00
loop_
_atom_site_label
_atom_site_type_symbol
_atom_site_fract_x
_atom_site_fract_y
_atom_site_fract_z
Nd1 Nd 0.0000 0.0000 0.1033
Tc1 Tc 0.0000 0.0000 0.2835
Tc2 Tc 0.2500 0.2500 0.0000
Tc3 Tc 0.2500 0.2500 0.2500
# * D(E_F): 55.12 states/eV per cell
# * calculated formation energy: 3.637 eV/f.u.
# * magnetization: 0.16 μB/f.u.

# PBE Na8Tl2Sn, relaxed
data_Na8Tl2Sn
_space_group_name_H-M_alt 'C 1 2/m 1'
_space_group_IT_number 12
_cell_length_a 17.9225
_cell_length_b 4.9621
_cell_length_c 7.4529
_cell_angle_alpha 90.00
_cell_angle_beta 99.91
_cell_angle_gamma 90.00
loop_
_space_group_symop_operation_xyz
'x,y,z'
'-x,-y,-z'
'-x,y,-z'
'x,-y,z'
'x+1/2,y+1/2,z'
'-x+1/2,-y+1/2,-z'
'-x+1/2,y+1/2,-z'
'x+1/2,-y+1/2,z'
loop_
_atom_site_label
_atom_site_type_symbol
_atom_site_fract_x
_atom_site_fract_y
_atom_site_fract_z
Na1 Na 0.0453 0.0000 0.2487
Na2 Na 0.0951 0.5000 0.9384
Na3 Na 0.1358 0.0000 0.6850
Na4 Na 0.1788 0.5000 0.4071
Tl1 Tl 0.2248 0.0000 0.1267
Sn1 Sn 0.0000 0.5000 0.5000
# * D(E_F): 9.42 states/eV per cell
# * calculated formation energy: -1.094 eV/f.u.
# * magnetization: 0.00 μB/f.u.
# * polymorph energy (0 for the lowest one): 0 meV/atom

# PBE Cs2CaMnPt, relaxed
data_Cs2CaMnPt
_space_group_name_H-M_alt 'P 4/m m m'
_space_group_IT_number 123
_space_group_name_Hall '-P 4 2'
_cell_length_a 6.7304
_cell_length_b 6.7304
_cell_length_c 5.1467
_cell_angle_alpha 90.00
_cell_angle_beta 90.00
_cell_angle_gamma 90.00
loop_
_atom_site_label
_atom_site_type_symbol
_atom_site_fract_x
_atom_site_fract_y
_atom_site_fract_z
Cs1 Cs 0.0000 0.5000 0.0000
Ca1 Ca 0.0000 0.0000 0.0000
Mn1 Mn 0.0000 0.0000 0.5000
Pt1 Pt 0.5000 0.5000 0.5000
# * D(E_F): 3.18 states/eV per cell
# * calculated formation energy: 6.395 eV/f.u.
# * magnetization: 3.26 μB/f.u.

# PBE HgAsOs2, relaxed
data_HgAsOs2
_space_group_name_H-M_alt 'P 4/m m m'
_space_group_IT_number 123
_space_group_name_Hall '-P 4 2'
_cell_length_a 4.4875
_cell_length_b 4.4875
_cell_length_c 3.1989
_cell_angle_alpha 90.00
_cell_angle_beta 90.00
_cell_angle_gamma 90.00
loop_
_atom_site_label
_atom_site_type_symbol
_atom_site_fract_x
_atom_site_fract_y
_atom_site_fract_z
Hg1 Hg 0.0000 0.0000 0.0000
As1 As 0.5000 0.5000 0.0000
Os1 Os 0.0000 0.5000 0.5000
# * D(E_F): 4.49 states/eV per cell
# * calculated formation energy: 3.913 eV/f.u.
# * magnetization: 0.00 μB/f.u.
# * polymorph energy (0 for the lowest one): 583 meV/atom

# PBE Cr2SbCl, relaxed
data_Cr2SbCl
_space_group_name_H-M_alt 'P m m 2'
_space_group_IT_number 25
_cell_length_a 3.8072
_cell_length_b 3.8660
_cell_length_c 5.7717
_cell_angle_alpha 90.00
_cell_angle_beta 90.00
_cell_angle_gamma 90.00
loop_
_space_group_symop_operation_xyz
'x,y,z'
'-x,-y,z'
'-x,y,z'
'x,-y,z'
loop_
_atom_site_label
_atom_site_type_symbol
_atom_site_fract_x
_atom_site_fract_y
_atom_site_fract_z
Cr1 Cr 0.0000 0.0000 0.0000
Cr2 Cr 0.5000 0.5000 0.4132
Sb1 Sb 0.5000 0.5000 0.9087
Cl1 Cl 0.0000 0.0000 0.4371
# * D(E_F): 2.59 states/eV per cell
# * magnetization: 8.04 μB/f.u.
# * uncorrected formation energy: 0.5 eV per formula unit
# * polymorph energy (0 for the lowest one): 169 meV/atom

# PBE LiAcGdGe, relaxed
data_LiAcGdGe
_space_group_name_H-M_alt 'F -4 3 m'
_space_group_IT_number 216
_space_group_name_Hall 'F -4 2 3'
_cell_length_a 7.5502
_cell_length_b 7.5502
_cell_length_c 7.5502
_cell_angle_alpha 90.00
_cell_angle_beta 90.00
_cell_angle_gamma 90.00
loop_
_atom_site_label
_atom_site_type_symbol
_atom_site_fract_x
_atom_site_fract_y
_atom_site_fract_z
Li1 Li 0.0000 0.0000 0.0000
Ac1 Ac 0.2500 0.2500 0.7500
Gd1 Gd 0.2500 0.2500 0.2500
Ge1 Ge 0.0000 0.0000 0.5000
# * D(E_F): 21.77 states/eV per cell
# * calculated formation energy: -1.279 eV/f.u.
# * magnetization: 7.53 μB/f.u.

# PBE Cs2UZn2As4, relaxed
data_Cs2UZn2As4
_space_group_name_H-M_alt 'C 1 2/m 1'
_space_group_IT_number 12
_cell_length_a 15.1485
_cell_length_b 4.2607
_cell_length_c 8.4911
_cell_angle_alpha 90.00
_cell_angle_beta 106.49
_cell_angle_gamma 90.00
loop_
_space_group_symop_operation_xyz
'x,y,z'
'-x,-y,-z'
'-x,y,-z'
'x,-y,z'
'x+1/2,y+1/2,z'
'-x+1/2,-y+1/2,-z'
'-x+1/2,y+1/2,-z'
'x+1/2,-y+1/2,z'
loop_
_atom_site_label
_atom_site_type_symbol
_atom_site_fract_x
_atom_site_fract_y
_atom_site_fract_z
Cs1 Cs 0.1384 0.0000 0.0692
U1 U 0.0000 0.0000 0.5000
Zn1 Zn 0.1703 0.5000 0.4785
As1 As 0.0080 0.5000 0.2906
As2 As 0.1910 0.0000 0.6491
# * D(E_F): 2.32 states/eV per cell
# * calculated formation energy: -4.504 eV/f.u.
# * magnetization: 0.11 μB/f.u.

# PBE ScReAs3, relaxed
data_ScReAs3
_space_group_name_H-M_alt 'P m -3 m'
_space_group_IT_number 221
_space_group_name_Hall '-P 4 2 3'
_cell_length_a 4.8480
_cell_length_b 4.8480
_cell_length_c 4.8480
_cell_angle_alpha 90.00
_cell_angle_beta 90.00
_cell_angle_gamma 90.00
loop_
_atom_site_label
_atom_site_type_symbol
_atom_site_fract_x
_atom_site_fract_y
_atom_site_fract_z
Sc1 Sc 0.0000 0.0000 0.0000
Re1 Re 0.5000 0.5000 0.5000
As1 As 0.0000 0.5000 0.5000
# * D(E_F): 6.19 states/eV per cell
# * calculated formation energy: 2.019 eV/f.u.
# * magnetization: 0.00 μB/f.u.
# * polymorph energy (0 for the lowest one): 0 meV/atom

# PBE LiMnReOs, relaxed
data_LiMnReOs
_space_group_name_H-M_alt 'F -4 3 m'
_space_group_IT_number 216
_space_group_name_Hall 'F -4 2 3'
_cell_length_a 5.9306
_cell_length_b 5.9306
_cell_length_c 5.9306
_cell_angle_alpha 90.00
_cell_angle_beta 90.00
_cell_angle_gamma 90.00
loop_
_atom_site_label
_atom_site_type_symbol
_atom_site_fract_x
_atom_site_fract_y
_atom_site_fract_z
Li1 Li 0.0000 0.0000 0.0000
Mn1 Mn 0.2500 0.2500 0.2500
Re1 Re 0.0000 0.0000 0.5000
Os1 Os 0.2500 0.2500 0.7500
# * D(E_F): 16.41 states/eV per cell
# * calculated formation energy: 0.543 eV/f.u.
# * magnetization: 1.01 μB/f.u.

# PBE SiTePtI, relaxed
data_SiTePtI
_space_group_name_H-M_alt 'C 1 m 1'
_space_group_IT_number 8
_cell_length_a 7.9141
_cell_length_b 4.8925
_cell_length_c 6.6858
_cell_angle_alpha 90.00
_cell_angle_beta 111.82
_cell_angle_gamma 90.00
loop_
_space_group_symop_operation_xyz
'x,y,z'
'x,-y,z'
'x+1/2,y+1/2,z'
'x+1/2,-y+1/2,z'
loop_
_atom_site_label
_atom_site_type_symbol
_atom_site_fract_x
_atom_site_fract_y
_atom_site_fract_z
Si1 Si 0.0000 0.0000 0.0000
Te1 Te 0.3801 0.5000 0.3142
Pt1 Pt 0.2387 0.0000 0.3236
I1 I 0.4151 0.0000 0.7984
# * D(E_F): 2.35 states/eV per cell
# * magnetization: 0.00 μB/f.u.
# * uncorrected formation energy: 0.1 eV per formula unit
# * polymorph energy (0 for the lowest one): 334 meV/atom

# PBE Y2Mo, relaxed
data_Y2Mo
_space_group_name_H-M_alt 'I 4/m m m'
_space_group_IT_number 139
_space_group_name_Hall '-I 4 2'
_cell_length_a 3.5194
_cell_length_b 3.5194
_cell_length_c 12.5536
_cell_angle_alpha 90.00
_cell_angle_beta 90.00
_cell_angle_gamma 90.00
loop_
_atom_site_label
_atom_site_type_symbol
_atom_site_fract_x
_atom_site_fract_y
_atom_site_fract_z
Y1 Y 0.0000 0.0000 0.1350
Mo1 Mo 0.0000 0.0000 0.5000
# * D(E_F): 10.02 states/eV per cell
# * calculated formation energy: 0.938 eV/f.u.
# * magnetization: 0.00 μB/f.u.
# * polymorph energy (0 for the lowest one): 166 meV/atom

# PBE Li3Ac2Pt4Au, relaxed
data_Li3Ac2Pt4Au
_space_group_name_H-M_alt 'P -4 m 2'
_space_group_IT_number 115
_cell_length_a 4.2330
_cell_length_b 4.2330
_cell_length_c 11.1082
_cell_angle_alpha 90.00
_cell_angle_beta 90.00
_cell_angle_gamma 90.00
loop_
_space_group_symop_operation_xyz
'x,y,z'
'y,-x,-z'
'-x,-y,z'
'-y,x,-z'
'-x,y,z'
'-y,-x,-z'
'x,-y,z'
'y,x,-z'
loop_
_atom_site_label
_atom_site_type_symbol
_atom_site_fract_x
_atom_site_fract_y
_atom_site_fract_z
Li1 Li 0.0000 0.0000 0.0000
Li2 Li 0.0000 0.5000 0.6133
Ac1 Ac 0.0000 0.5000 0.2650
Pt1 Pt 0.0000 0.0000 0.5000
Pt2 Pt 0.0000 0.5000 0.8352
Pt3 Pt 0.5000 0.5000 0.5000
Au1 Au 0.5000 0.5000 0.0000
# * D(E_F): 2.54 states/eV per cell
# * calculated formation energy: -7.708 eV/f.u.
# * magnetization: 0.00 μB/f.u.

no.,raw total energy (eV per cell)
1,-92.3
2,-95.1
3,-333.5
4,-185.5
5,-34.8
6,-26.2
7,-106.6
8,-14.4
9,-257.8
10,-40.8
11,-12.5
12,-23.5
13,-24.7
14,-104.0
15,-77.3
16,-30.7
17,-136.9
18,-32.1
19,-45.6
20,-49.1